Below is crystalline Y2Pd3Pt at its relaxed geometry, with properties calculated at the GGA-PBE level.

Output
Distance to the lowest polymorph of the same formula (eV/atom): 0.0000
SG: Fddd (70)
DFT total energy (eV/atom): -6.4492
Formation enthalpy at 0 K (eV per atom): -0.69

Structure (extended XYZ):
```
24
Lattice="0.0000 5.7809 8.2322 5.3168 0.0000 8.2322 5.3168 5.7809 0.0000" Properties=species:S:1:pos:R:3 pbc="T T T"
Y 2.9574 2.7308 3.6532
Y 7.6762 5.6213 7.7693
Y 5.0178 5.9405 3.6532
Y 5.0178 2.7308 8.6952
Y 5.6158 8.8310 7.7693
Y 5.6158 5.6213 12.8113
Y 2.9574 5.9405 8.6952
Y 7.6762 8.8310 12.8113
Pd 0.0000 0.0000 0.0000
Pd 2.6584 2.8904 0.0000
Pd 2.6584 0.0000 4.1161
Pd 3.9876 4.3357 1.7654
Pd 3.9876 1.8461 6.1742
Pd 6.6460 7.2261 5.8815
Pd 6.6460 4.7365 10.2903
Pd 0.0000 2.8904 4.1161
Pd 3.9876 6.8253 6.1742
Pd 3.9876 4.3357 10.5830
Pd 6.6460 9.7157 10.2903
Pd 6.6460 7.2261 14.6991
Pt 5.4385 4.3357 6.1742
Pt 8.0970 7.2261 10.2903
Pt 2.5367 4.3357 6.1742
Pt 5.1951 7.2261 10.2903
```

---

Below is crystalline Y2Pd6Pt at its relaxed geometry, with properties calculated at the GGA-PBE level.

Output
Distance to the lowest polymorph of the same formula (eV/atom): 0.0000
SG: C2/m (12)
DFT total energy (eV/atom): -6.2343
Formation enthalpy at 0 K (eV per atom): -0.66

Structure (extended XYZ):
```
9
Lattice="2.5190 -4.4262 0.0000 2.5190 4.4262 0.0000 -0.3495 0.0000 7.1319" Properties=species:S:1:pos:R:3 pbc="T T T"
Y 0.8542 0.0000 2.2302
Y 3.8344 0.0000 4.9017
Pd 1.3480 1.4683 4.7515
Pd 2.5190 2.8467 0.0000
Pd 1.3480 -1.4683 4.7515
Pd 3.3405 1.4683 2.3803
Pd 2.5190 -2.8467 0.0000
Pd 3.3405 -1.4683 2.3803
Pt 2.5190 0.0000 0.0000
```

---

Below is crystalline Y2Pd2Pt3 at its relaxed geometry, with properties calculated at the GGA-PBE level.

Output
SG: C2/m (12)
DFT total energy (eV/atom): -6.7411
Formation enthalpy at 0 K (eV per atom): -0.82

Structure (extended XYZ):
```
7
Lattice="4.7930 -2.0760 0.0000 4.7930 2.0760 0.0000 -3.8806 0.0000 7.0963" Properties=species:S:1:pos:R:3 pbc="T T T"
Y 0.7993 0.0000 1.9525
Y 4.9061 0.0000 5.1437
Pd -1.9358 0.0000 6.3214
Pd 7.6412 0.0000 0.7749
Pt 2.0529 0.0000 4.6020
Pt 4.7930 0.0000 0.0000
Pt 3.6525 0.0000 2.4942
```

---

Below is crystalline Y2Pd4Pt at its relaxed geometry, with properties calculated at the GGA-PBE level.

Output
SG: Fmmm (69)
DFT total energy (eV/atom): -6.2378
Formation enthalpy at 0 K (eV per atom): -0.56

Structure (extended XYZ):
```
7
Lattice="0.0000 4.6179 5.5272 2.7005 0.0000 5.5272 2.7005 4.6179 0.0000" Properties=species:S:1:pos:R:3 pbc="T T T"
Y 2.7005 4.6179 1.6006
Y 2.7005 4.6179 9.4538
Pd 1.3503 2.3089 0.0000
Pd 1.3503 2.3089 2.7636
Pd 1.3503 2.3089 5.5272
Pd 4.0508 6.9268 8.2908
Pt 2.7005 4.6179 5.5272
```